[1]
DFT (PBEsol) results for a geometry-optimized MoAs2RhBr structure.

Summary:
Uncorrected formation energy   5.06 eV per formula unit
Total magnetic moment   3.1 μB per formula unit

POSCAR file:
```
MoAs2RhBr
1.0
4.663 0.000 0.000
0.000 4.663 0.000
0.000 0.000 5.029
As Rh Mo Br
2 1 1 1
Direct
0.500 0.000 0.000 As
0.000 0.500 0.000 As
0.000 0.000 0.000 Rh
0.500 0.500 0.500 Mo
0.000 0.000 0.500 Br
```

[2]
DFT (PBEsol) results for a geometry-optimized MoAs2SBr structure.

Summary:
Uncorrected formation energy   5.90 eV per formula unit
Total magnetic moment   2.8 μB per formula unit

POSCAR file:
```
MoAs2SBr
1.0
4.747 0.000 0.000
0.000 4.747 0.000
0.000 0.000 4.745
S As Mo Br
1 2 1 1
Direct
0.000 0.000 0.000 S
0.500 0.000 0.000 As
0.000 0.500 0.000 As
0.500 0.500 0.500 Mo
0.000 0.000 0.500 Br
```